Entry 1:
Ca2HfNbN4: optimized geometry, PBE.

a b c (Å): 3.239 5.620 5.888
angles (deg): 108.44 90.00 90.00
Atoms (fractional coordinates):
Ca 0.000 0.500 0.500
N 0.500 0.765 0.785
N 0.000 0.258 0.787
N 0.500 0.235 0.215
N 0.000 0.742 0.213
Ca 0.500 0.000 0.500
Nb 0.000 0.000 0.000
Hf 0.500 0.500 0.000

Results
- Calculated density: 6.66 g cm⁻³
- Total magnetization: 0.0 μB per formula unit
- Formation energy without anion corrections: -1369 meV/atom
- N(E_F): 1.7 states/eV/cell

Entry 2:
La4Pr2Sm3: optimized geometry, PBE.

a b c (Å): 5.239 8.255 8.269
angles (deg): 107.54 108.47 90.00
Atoms (fractional coordinates):
Pr 0.666 0.001 0.332
Sm 0.000 0.000 0.000
Sm 0.111 0.669 0.222
La 0.555 0.334 0.110
Sm 0.889 0.331 0.778
La 0.445 0.666 0.890
Pr 0.334 0.999 0.668
La 0.777 0.667 0.554
La 0.223 0.333 0.446

Results
- Calculated density: 6.65 g cm⁻³
- Total magnetization: 0.0 μB per formula unit
- Final energy: -4.810 eV per atom
- N(E_F): 15.9 states/eV/cell

Entry 3:
PaAlV: optimized geometry, PBE.

a b c (Å): 5.233 5.413 9.407
angles (deg): 82.27 73.85 61.10
Atoms (fractional coordinates):
V 0.875 0.000 0.249
V 0.625 0.500 0.749
Pa 0.325 0.500 0.349
Al 0.174 0.653 0.000
Al 0.576 0.847 0.500
Pa 0.175 0.500 0.651
Pa 0.425 0.000 0.151
V 0.875 0.500 0.251
Pa 0.575 0.000 0.849
Al 0.924 0.153 0.500
V 0.125 0.000 0.751
Al 0.826 0.347 0.000

Results
- Calculated density: 9.16 g cm⁻³
- Total magnetization: 0.0 μB per formula unit
- Final energy: -7.405 eV per atom
- N(E_F): 15.5 states/eV/cell

Entry 4:
Te2PCl: optimized geometry, PBE.

a b c (Å): 10.894 10.894 10.894
angles (deg): 18.95 18.95 18.95
Site moments in Bohr magnetons follow the coordinates.
Atoms (fractional coordinates):
Cl 0.465 0.465 0.465  0.02
Te 0.031 0.031 0.031  0.01
P 0.748 0.748 0.748  0.01
Te 0.255 0.255 0.255  0.15

Results
- Calculated density: 4.48 g cm⁻³
- Total magnetization: 0.4 μB per formula unit
- Formation energy without anion corrections: 161 meV/atom
- N(E_F): 3.2 states/eV/cell

Entry 5:
RbGaPb: optimized geometry, PBE.

a b c (Å): 7.786 4.814 7.909
angles (deg): 115.93 80.89 68.80
Atoms (fractional coordinates):
Rb 0.152 0.102 0.283
Rb 0.459 0.728 0.668
Ga 0.022 0.606 0.866
Pb 0.745 0.730 0.207
Pb 0.867 0.101 0.744
Ga 0.589 0.224 0.085

Results
- Calculated density: 5.23 g cm⁻³
- Total magnetization: 0.0 μB per formula unit
- Final energy: -2.653 eV per atom
- N(E_F): 1.2 states/eV/cell

Entry 6:
Tb3ScTl3S8: optimized geometry, PBE.

a b c (Å): 7.970 7.969 8.671
angles (deg): 117.31 90.05 120.00
Atoms (fractional coordinates):
Tb 0.000 0.500 0.500
Tl 0.500 0.500 0.000
S 0.747 0.971 0.696
S 0.253 0.029 0.304
S 0.265 0.531 0.296
S 0.735 0.469 0.704
Sc 0.000 0.000 0.500
S 0.776 0.028 0.304
Tb 0.500 0.500 0.500
Tl 0.000 0.000 0.000
S 0.775 0.551 0.304
S 0.224 0.972 0.696
Tl 0.000 0.500 0.000
Tb 0.500 0.000 0.500
S 0.225 0.449 0.696

Results
- Calculated density: 5.71 g cm⁻³
- Total magnetization: 0.0 μB per formula unit
- Formation energy without anion corrections: -1462 meV/atom
- N(E_F): 5.8 states/eV/cell

Entry 7:
YCoW2: optimized geometry, PBE.

a b c (Å): 4.532 4.532 4.532
angles (deg): 60.00 60.00 60.00
Atoms (fractional coordinates):
W 0.250 0.250 0.250
Co 0.000 0.000 0.000
Y 0.500 0.500 0.500
W 0.750 0.750 0.750

Results
- Calculated density: 13.00 g cm⁻³
- Total magnetization: 0.0 μB per formula unit
- Final energy: -9.003 eV per atom
- N(E_F): 5.0 states/eV/cell

Entry 8:
Nd2Sm12Dy: optimized geometry, PBE.

a b c (Å): 6.534 6.534 25.341
angles (deg): 90.00 90.00 90.00
Atoms (fractional coordinates):
Sm 0.314 0.814 0.886
Nd 0.500 0.000 0.732
Nd 0.000 0.500 0.732
Sm 0.168 0.332 0.438
Sm 0.500 0.500 0.338
Sm 0.500 0.500 0.785
Nd 0.500 0.000 0.268
Sm 0.186 0.686 0.114
Sm 0.668 0.168 0.438
Sm 0.500 0.500 0.215
Sm 0.332 0.168 0.562
Dy 0.000 0.500 0.000
Sm 0.686 0.814 0.114
Sm 0.814 0.686 0.886
Sm 0.832 0.668 0.438
Sm 0.500 0.500 0.662
Sm 0.000 0.000 0.215
Sm 0.814 0.314 0.114
Sm 0.686 0.186 0.886
Nd 0.000 0.500 0.268
Sm 0.668 0.832 0.562
Sm 0.186 0.314 0.886
Sm 0.314 0.186 0.114
Sm 0.000 0.000 0.338
Sm 0.832 0.332 0.562
Dy 0.500 0.000 0.000
Sm 0.000 0.000 0.785
Sm 0.000 0.000 0.662
Sm 0.332 0.832 0.438
Sm 0.168 0.668 0.562

Results
- Calculated density: 6.92 g cm⁻³
- Total magnetization: 0.0 μB per formula unit
- Final energy: -4.404 eV per atom
- N(E_F): 40.5 states/eV/cell

> Which of these has the lowest calculated density?

Te2PCl

> Which formula does entry 1 have?

Ca2HfNbN4